Computed, not measured: a relaxed La2MnSb4 crystal at the PBE level of DFT.

The structure in POSCAR format:
```
La2MnSb4
1.0
-2.1475 3.9482 0.0242
-1.2986 -0.6803 -4.2487
-8.3845 -4.5807 3.2962
Sb La Mn
4 2 1
Cartesian
-7.8735 -4.2869 0.7157
-4.1923 -2.2904 1.6481
-2.2341 1.3402 0.4683
-5.9153 -0.6564 -0.4641
-7.3818 -1.4722 2.4920
-2.7258 -1.4746 -1.3080
-1.7231 1.6340 -2.1122
```

Summary:
N(E_F): 1.71 states/eV/cell
total magnetization: 4.41 μB per formula unit
uncorrected formation energy: -0.71 eV per atom
E: -40.5 eV/cell
energy above the most stable polymorph in this dataset: 0.0 meV per atom

Computed, not measured: a relaxed LaMnSb4 crystal at the PBE level of DFT.

The structure in POSCAR format:
```
LaMnSb4
1.0
-1.9802 0.2466 5.9181
-0.6630 5.5209 2.8436
-5.7075 2.1802 1.2948
Sb Mn La
4 1 1
Cartesian
-3.4570 5.7557 5.1943
-4.1212 3.0964 6.7445
-6.0005 4.0713 4.4135
-3.1227 2.9721 3.7606
0.0000 0.0000 0.0000
-6.2630 5.9608 7.5424
```

Summary:
N(E_F): 5.77 states/eV/cell
total magnetization: 4.50 μB per formula unit
uncorrected formation energy: 0.11 eV per atom
E: -29.9 eV/cell